Entry from Alexandria: an optimized crystal structure of UMn3As3 (PBE).

a b c (Å): 6.519 6.519 6.519
angles (deg): 90.00 90.00 90.00
Fractional positions:
1 As 0.000 0.250 0.500
2 As 0.000 0.750 0.500
3 As 0.500 0.000 0.750
4 As 0.750 0.500 0.000
5 As 0.500 0.000 0.250
6 As 0.250 0.500 0.000
7 Mn 0.250 0.000 0.500
8 Mn 0.000 0.500 0.250
9 Mn 0.500 0.750 0.000
10 Mn 0.750 0.000 0.500
11 Mn 0.000 0.500 0.750
12 Mn 0.500 0.250 0.000
13 U 0.500 0.500 0.500
14 U 0.000 0.000 0.000

- calculated formation energy (kcal/mol of atoms) = 5.44
- M_tot (μB per formula unit) = 9.6